Computed, not measured: an optimized crystal structure of GeRuO at the PBE level of DFT.

ΔE_f (raw): -315 meV/atom
SG: Cm
Total magnetic moment: 0.00 μB per formula unit

Geometry as POSCAR:
```
GeRuO
1.0
3.092 -0.003 0.061
1.493 2.708 0.061
1.543 0.910 4.968
Ge O Ru
1 1 1
direct
0.557 0.557 0.441 Ge
0.433 0.433 0.799 O
0.016 0.016 0.113 Ru
```

=====

Computed, not measured: an optimized crystal structure of Ge3RuO at the PBE level of DFT.

Energy above the lowest structure with this stoichiometry: 0.000 eV per atom
ΔE_f (raw): 229 meV/atom
SG: Pm-3m
Total magnetic moment: 0.00 μB per formula unit

Geometry as POSCAR:
```
Ge3RuO
1.0
-1.552 0.697 -3.894
0.157 -4.169 -0.809
-3.953 -0.439 1.497
O Ge Ru
1 3 1
direct
0.000 0.000 0.000 O
0.000 0.500 0.000 Ge
0.500 0.000 0.000 Ge
0.000 0.000 0.500 Ge
0.500 0.500 0.500 Ru
```